Computed, not measured: a relaxed structure of ZnAsW2F at the PBE with a Hubbard U level of DFT.

Calculated values
Space group = P4/mmm (123)
Calculated total energy = -18.407 eV per cell

The structure in extended XYZ format:
```
5
Lattice="4.7667 0.0000 0.0000 0.0000 4.7667 0.0000 0.0000 0.0000 4.3982" Properties=species:S:1:pos:R:3 pbc="T T T"
Zn 0.0000 0.0000 0.0000
As 2.3833 2.3833 0.0000
W 0.0000 2.3833 2.1991
W 2.3833 0.0000 2.1991
F 0.0000 0.0000 2.1991
```